i) # Ba6H2Ir

A geometry-optimized Ba6H2Ir structure (PBE, the Alexandria database).

Structure (extended XYZ):
```
9
Lattice="4.582 0.000 0.000 2.291 7.494 -0.234 2.291 2.855 11.095" Properties=species:S:1:pos:R:3 pbc="T T T"
Ba 6.873 6.449 2.657
Ba 4.582 7.096 6.297
Ba 4.582 3.253 4.564
Ir 2.291 5.175 5.430
Ba 6.873 8.286 9.790
Ba 2.291 2.063 1.071
H 4.582 8.746 8.553
H 4.582 1.603 2.308
Ba 2.291 3.900 8.204
```

Properties
Size of the total moment, μB/atom: 0.0090

ii) # Ba6H2Ir

A geometry-optimized Ba6H2Ir structure (PBE, the Alexandria database).

Structure (extended XYZ):
```
18
Lattice="7.232 0.000 0.000 0.000 7.621 -0.401 0.000 0.675 13.093" Properties=species:S:1:pos:R:3 pbc="T T T"
H 3.624 8.186 10.591
H 7.224 4.038 4.245
Ba 1.725 1.747 8.653
Ba 5.235 6.386 -0.332
Ba 1.891 5.220 1.906
H 0.008 4.258 8.447
Ba 1.901 5.669 10.641
H 3.608 0.110 2.101
Ba 5.517 6.775 8.397
Ba 1.619 5.383 6.277
Ba 1.715 1.521 4.295
Ba 1.997 1.910 13.024
Ir 0.000 0.337 6.546
Ba 5.613 2.912 6.415
Ba 5.341 3.076 10.786
Ba 5.507 6.549 4.039
Ba 5.331 2.627 2.051
Ir 3.616 3.811 -0.200
```

Properties
Size of the total moment, μB/atom: 0.0000

Most stable structure, least stable structure: ii), i).

i) # BaH3Ir

A geometry-optimized BaH3Ir structure (PBE, the Alexandria database).

Structure (extended XYZ):
```
5
Lattice="4.538 0.000 0.000 0.000 4.538 0.000 0.000 0.000 4.538" Properties=species:S:1:pos:R:3 pbc="T T T"
H 0.000 0.000 2.269
H 2.269 0.000 0.000
Ba 0.000 0.000 0.000
Ir 2.269 2.269 2.269
H 0.000 2.269 0.000
```

Properties
Size of the total moment, μB/atom: 0.3829

ii) # BaH3Ir

A geometry-optimized BaH3Ir structure (PBE, the Alexandria database).

Structure (extended XYZ):
```
5
Lattice="-2.273 -2.544 1.946 2.316 0.343 3.153 -2.213 2.972 1.302" Properties=species:S:1:pos:R:3 pbc="T T T"
Ba -1.084 0.386 3.201
H 1.158 0.172 1.577
H -1.106 1.486 0.651
Ir 0.000 0.000 0.000
H -1.136 -1.272 0.973
```

Properties
Size of the total moment, μB/atom: 0.0000

Most stable structure, least stable structure: ii), i).